A geometry-optimized MoRh2O6 structure, computed with GGA+U.

```
MoRh2O6
1.0
4.618 0.000 0.000
0.000 4.618 0.000
0.000 0.000 9.452
Mo Rh O
2 4 12
direct
0.000 0.000 0.000
0.500 0.500 0.500
0.500 0.500 0.832
0.000 0.000 0.332
0.500 0.500 0.168
0.000 0.000 0.668
0.694 0.694 0.665
0.306 0.306 0.665
0.694 0.694 0.335
0.194 0.806 0.165
0.806 0.194 0.165
0.806 0.194 0.835
0.304 0.304 0.000
0.196 0.804 0.500
0.804 0.196 0.500
0.696 0.696 0.000
0.306 0.306 0.335
0.194 0.806 0.835
```

Summary:
- Calculated total energy: -6.83 eV per atom
- Magnetic moment: 0.061 μB/atom